Computed, not measured: a geometry-optimized Hg2Pb2N structure at the PBE-GGA level of DFT. Values from VASP.

The structure in Quantum ESPRESSO input format:
```
&SYSTEM
  ibrav = 0, nat = 5, ntyp = 3
/
ATOMIC_SPECIES
Hg 200.59 Hg.upf
Pb 207.20 Pb.upf
N 14.01 N.upf
CELL_PARAMETERS angstrom
-2.2068 2.2068 7.4450
2.2068 -2.2068 7.4450
2.2068 2.2068 -7.4450
ATOMIC_POSITIONS angstrom
Hg 0.0000 0.0000 1.3487
Hg 0.0000 0.0000 13.5414
Pb 2.2068 0.0000 3.7225
Pb 0.0000 2.2068 3.7225
N 0.0000 0.0000 7.4450
```

volume	29.0	A^3/atom
SG	No. 139
raw formation energy	6.67	eV/f.u.
E	-9.676	eV/f.u.
E above lowest polymorph	0.559	eV per atom

Computed, not measured: a geometry-optimized Hg3PbN structure at the PBE-GGA level of DFT. Values from VASP.

The structure in Quantum ESPRESSO input format:
```
&SYSTEM
  ibrav = 0, nat = 5, ntyp = 3
/
ATOMIC_SPECIES
Hg 200.59 Hg.upf
Pb 207.20 Pb.upf
N 14.01 N.upf
CELL_PARAMETERS angstrom
6.0786 0.0000 0.0000
0.0000 6.0786 0.0000
0.0000 0.0000 6.0786
ATOMIC_POSITIONS angstrom
Hg 0.0000 0.0000 3.0393
Hg 0.0000 3.0393 0.0000
Hg 3.0393 0.0000 0.0000
Pb 0.0000 0.0000 0.0000
N 3.0393 3.0393 3.0393
```

volume	44.9	A^3/atom
SG	No. 221
raw formation energy	5.73	eV/f.u.
E	-7.212	eV/f.u.
E above lowest polymorph	0.608	eV per atom